## AcAgW2O7 (GGA+U)

Data for AcAgW2O7 after structural relaxation.

The structure in POSCAR format:
```
AcAgW2O7
1.0
3.982 0.000 0.000
0.000 3.982 0.000
0.000 0.000 10.870
Ac Ag W O
1 1 2 7
direct
0.000 0.000 0.000 Ac
0.000 0.000 0.500 Ag
0.500 0.500 0.206 W
0.500 0.500 0.794 W
0.000 0.500 0.169 O
0.000 0.500 0.831 O
0.500 0.000 0.169 O
0.500 0.000 0.831 O
0.500 0.500 0.000 O
0.500 0.500 0.371 O
0.500 0.500 0.629 O
```

Computed properties:
Crystal system: tetragonal
Total moment (μB/f.u.): 1.9
Uncorrected energy (eV per atom): -7.10